[1]
First-principles (GGA-PBEsol) data for crystalline Y2AgSe at its relaxed geometry, as listed in Alexandria via LeMat-Bulk.

```
Y2AgSe
1.0
3.9446 0.0000 0.0000
1.9723 3.4162 0.0000
1.9723 1.1387 7.2081
Y Ag Se
2 1 1
Direct
0.2541 0.2541 0.2378
0.7459 0.7459 0.7622
0.5000 0.5000 0.5000
0.0000 0.0000 0.0000
```

Output
- Space-group type: R-3m, No. 166
- Size of the total moment: 0.0 μB per formula unit
- N(E_F): 2.7 states/eV/cell
- ΔE_f (raw): -1004 meV per atom

***

[2]
First-principles (GGA-PBEsol) data for crystalline YAgSe2 at its relaxed geometry, as listed in Alexandria via LeMat-Bulk.

```
YAgSe2
1.0
4.2166 0.0000 0.0000
0.0000 6.6073 0.0000
0.0000 0.0000 13.5810
Se Ag Y
8 4 4
Direct
0.7826 0.4981 0.5253
0.2904 0.5891 0.2742
0.7174 0.5019 0.0253
0.7096 0.0891 0.2258
0.2096 0.4109 0.7742
0.7904 0.9109 0.7258
0.2826 0.0019 0.4747
0.2174 0.9981 0.9747
0.5037 0.7073 0.8679
0.0037 0.7927 0.1321
0.4963 0.2073 0.6321
0.9963 0.2927 0.3679
0.2072 0.2960 0.1253
0.7072 0.2040 0.8747
0.7928 0.7960 0.3747
0.2928 0.7040 0.6253
```

Output
- Space-group type: P2_12_12_1, No. 19
- Size of the total moment: 0.0 μB per formula unit
- ΔE_f (raw): -1211 meV per atom

***

[3]
First-principles (GGA-PBEsol) data for crystalline YAgSe2 at its relaxed geometry, as listed in Alexandria via LeMat-Bulk.

```
YAgSe2
1.0
-5.4559 0.2247 2.3520
-0.7422 -5.7819 -1.1692
5.5763 1.2693 5.2994
Se Y Ag
4 2 2
Direct
0.8874 0.3750 0.2500
0.1250 0.1126 0.7500
0.3626 0.8750 0.2500
0.6250 0.6374 0.7500
0.5000 0.5000 0.0000
0.7500 0.2500 0.5000
0.2500 0.7500 0.5000
0.0000 0.0000 0.0000
```

Output
- Space-group type: I-42d, No. 122
- Size of the total moment: 0.0 μB per formula unit
- N(E_F): 0.0 states/eV/cell
- ΔE_f (raw): -997 meV per atom

***

[4]
First-principles (GGA-PBEsol) data for crystalline Y2AgSe at its relaxed geometry, as listed in Alexandria via LeMat-Bulk.

```
Y2AgSe
1.0
-2.2550 1.7580 2.1873
-2.7275 -2.4014 -0.8819
4.5110 -4.0180 4.9174
Se Y Ag
1 2 1
Direct
0.2943 0.7943 0.5885
0.7075 0.2075 0.4150
0.9517 0.9517 0.9033
0.5466 0.5466 0.0931
```

Output
- Space-group type: Imm2, No. 44
- Size of the total moment: 0.0 μB per formula unit
- N(E_F): 3.8 states/eV/cell
- ΔE_f (raw): -841 meV per atom

***

[5]
First-principles (GGA-PBEsol) data for crystalline YAgSe4 at its relaxed geometry, as listed in Alexandria via LeMat-Bulk.

```
YAgSe4
1.0
5.6444 0.0000 0.0000
2.8222 4.8882 0.0000
2.8222 1.6294 4.6086
Se Y Ag
4 1 1
Direct
0.8772 0.3743 0.3743
0.3743 0.8772 0.3743
0.3743 0.3743 0.8772
0.3743 0.3743 0.3743
0.7500 0.7500 0.7500
0.0000 0.0000 0.0000
```

Output
- Space-group type: F-43m, No. 216
- Size of the total moment: 0.0 μB per formula unit
- N(E_F): 3.1 states/eV/cell
- ΔE_f (raw): -45 meV per atom

***

[6]
First-principles (GGA-PBEsol) data for crystalline Y2AgSe at its relaxed geometry, as listed in Alexandria via LeMat-Bulk.

```
Y2AgSe
1.0
-0.1045 0.8929 4.7063
3.4459 -3.4434 -1.7091
0.8716 4.6323 -0.8596
Y Ag Se
2 1 1
Direct
0.7500 0.5000 0.2500
0.2500 0.5000 0.7500
0.5000 0.0000 0.5000
0.0000 0.0000 0.0000
```

Output
- Space-group type: I4/mmm, No. 139
- Size of the total moment: 0.0 μB per formula unit
- N(E_F): 3.6 states/eV/cell
- ΔE_f (raw): -736 meV per atom

***

[7]
First-principles (GGA-PBEsol) data for crystalline YAgSe at its relaxed geometry, as listed in Alexandria via LeMat-Bulk.

```
YAgSe
1.0
-4.1834 -1.7990 -0.9113
-0.6865 -2.4205 -3.9035
-0.6454 -4.5947 0.2000
Y Se Ag
1 1 1
Direct
0.0000 0.0000 0.0000
0.2500 0.2500 0.2500
0.5000 0.5000 0.5000
```

Output
- Space-group type: F-43m, No. 216
- Size of the total moment: 0.0 μB per formula unit
- Energy relative to the lowest polymorph listed for this composition: 24.8 kJ/mol of atoms
- N(E_F): 3.0 states/eV/cell
- ΔE_f (raw): -547 meV per atom

***

[8]
First-principles (GGA-PBEsol) data for crystalline YAgSe2 at its relaxed geometry, as listed in Alexandria via LeMat-Bulk.

```
YAgSe2
1.0
3.7276 0.0000 0.0000
0.0000 3.9246 0.0246
-1.8638 -0.0325 6.1958
Y Se Ag
1 2 1
Direct
0.5486 0.6252 0.0971
0.2231 0.6248 0.4462
0.9708 0.1255 0.9417
0.7575 0.1245 0.5150
```

Output
- Space-group type: Amm2, No. 38
- Size of the total moment: 0.0 μB per formula unit
- N(E_F): 0.8 states/eV/cell
- ΔE_f (raw): -1157 meV per atom

***

[9]
First-principles (GGA-PBEsol) data for crystalline YAgSe2 at its relaxed geometry, as listed in Alexandria via LeMat-Bulk.

```
YAgSe2
1.0
5.7395 -0.0018 0.0144
0.0012 5.5010 0.0013
2.8545 2.7453 5.8012
Y Se Ag
2 4 2
Direct
0.9442 0.9989 0.0011
0.6922 0.2476 0.5050
0.4642 0.0018 0.9943
0.2056 0.2439 0.5120
0.7859 0.7568 0.4865
0.0190 0.4896 0.0198
0.5714 0.4974 0.0018
0.3261 0.7540 0.4923
```

Output
- Space-group type: P1, No. 1
- Size of the total moment: 0.0 μB per formula unit
- ΔE_f (raw): -1175 meV per atom

***

[10]
First-principles (GGA-PBEsol) data for crystalline Y3AgSe at its relaxed geometry, as listed in Alexandria via LeMat-Bulk.

```
Y3AgSe
1.0
5.2494 0.0000 0.0000
0.0000 5.2494 0.0000
0.0000 0.0000 5.2494
Se Y Ag
1 3 1
Direct
0.0000 0.0000 0.0000
0.0000 0.5000 0.0000
0.0000 0.0000 0.5000
0.5000 0.0000 0.0000
0.5000 0.5000 0.5000
```

Output
- Space-group type: Pm-3m, No. 221
- Size of the total moment: 0.0 μB per formula unit
- N(E_F): 6.6 states/eV/cell
- ΔE_f (raw): -386 meV per atom

***

[11]
First-principles (GGA-PBEsol) data for crystalline YAgSe2 at its relaxed geometry, as listed in Alexandria via LeMat-Bulk.

```
YAgSe2
1.0
-1.5303 -1.8795 3.2864
3.4969 0.8676 2.1245
-2.1133 4.5523 1.6195
Se Ag Y
2 1 1
Direct
0.7191 0.5000 0.5000
0.0661 0.0000 0.0000
0.4573 0.5000 0.0000
0.2574 0.0000 0.5000
```

Output
- Space-group type: Pmm2, No. 25
- Size of the total moment: 0.0 μB per formula unit
- N(E_F): 0.3 states/eV/cell
- ΔE_f (raw): -1147 meV per atom

***

[12]
First-principles (GGA-PBEsol) data for crystalline YAgSe2 at its relaxed geometry, as listed in Alexandria via LeMat-Bulk.

```
YAgSe2
1.0
3.9576 0.0000 0.0000
0.0000 3.9576 0.0000
-1.9788 -1.9788 5.3071
Ag Se Y
1 2 1
Direct
0.2500 0.7500 0.5000
0.0000 0.0000 0.0000
0.7500 0.2500 0.5000
0.5000 0.5000 0.0000
```

Output
- Space-group type: I-4m2, No. 119
- Size of the total moment: 0.0 μB per formula unit
- N(E_F): 1.4 states/eV/cell
- ΔE_f (raw): -949 meV per atom